(1)
Density functional theory data (PBE+U) for a geometry-optimized NpNiBiO6 structure.

The raw total energy comes out at -65.80 eV per formula unit. The total magnetization is 1.942 μB/f.u.

a = 5.3616 Å, b = 5.3616 Å, c = 10.1539 Å
α = 90.00°, β = 90.00°, γ = 120.00°
Last column: nearest neighbours and their distance in Å.
Positions (direct):
Np  0.6667  0.3333  0.2500  6 O 2.03
Np  0.3333  0.6667  0.7500  6 O 2.03
Ni  0.3333  0.6667  0.2500  6 O 2.09
Ni  0.6667  0.3333  0.7500  6 O 2.09
Bi  0.0000  0.0000  0.0000  6 O 2.38
Bi  0.0000  0.0000  0.5000  6 O 2.38
O  0.6481  0.6393  0.1393  1 Np 2.03, 1 Ni 2.09
O  0.9912  0.3519  0.1393  1 Np 2.03, 1 Ni 2.09
O  0.3519  0.9912  0.6393  1 Np 2.03, 1 Ni 2.09
O  0.0088  0.6481  0.8607  1 Np 2.03, 1 Ni 2.09
O  0.3607  0.3519  0.3607  1 Np 2.03, 1 Ni 2.09
O  0.9912  0.6393  0.3607  1 Np 2.03, 1 Ni 2.09
O  0.6393  0.9912  0.8607  1 Np 2.03, 1 Ni 2.09
O  0.6481  0.0088  0.3607  1 Np 2.03, 1 Ni 2.09
O  0.0088  0.3607  0.6393  1 Np 2.03, 1 Ni 2.09
O  0.3607  0.0088  0.1393  1 Np 2.03, 1 Ni 2.09
O  0.6393  0.6481  0.6393  1 Np 2.03, 1 Ni 2.09
O  0.3519  0.3607  0.8607  1 Np 2.03, 1 Ni 2.09

=====

(2)
Density functional theory data (PBE+U) for a geometry-optimized NpNi2BiO6 structure.

The raw total energy comes out at -68.64 eV per formula unit. The total magnetization is 2.000 μB/f.u.

a = 5.5144 Å, b = 5.5131 Å, c = 5.8603 Å
α = 61.91°, β = 61.90°, γ = 59.99°
Last column: nearest neighbours and their distance in Å.
Positions (direct):
Np  0.3168  0.3169  0.0494  6 O 2.15-2.19
Ni  0.5216  0.5215  0.4351  6 O 2.07-2.24
Ni  0.0141  0.0141  0.9579  6 O 2.06-2.21
Bi  0.8073  0.8073  0.5781  6 O 2.35-2.38
O  0.6172  0.2387  0.2421  2 Ni 2.07-2.21, 1 Np 2.19
O  0.2386  0.9021  0.2423  2 Ni 2.07-2.21, 1 Np 2.19
O  0.9020  0.6169  0.2424  2 Ni 2.07-2.21, 1 Np 2.19
O  0.3652  0.7243  0.7560  2 Ni 2.06-2.24, 1 Np 2.15
O  0.7243  0.1543  0.7561  2 Ni 2.06-2.24, 1 Np 2.15
O  0.1547  0.3654  0.7558  2 Ni 2.06-2.24, 1 Np 2.15

=====

| no. | D(E_F) (states/eV/f.u.) |
| --- | --- |
| 1 | 0.36 |
| 2 | 7.27 |